DFT (PBE-GGA) results for a geometry-optimized CdRuCN2 structure. Values from VASP.

Values from the calculation:
For the final energy, the calculation gives -22.68 eV for the cell shown. The value obtained for the volume is 58 Å³/f.u.

```
&SYSTEM
  ibrav = 0, nat = 5, ntyp = 4
/
ATOMIC_SPECIES
Ru 101.07 Ru.upf
Cd 112.41 Cd.upf
N 14.01 N.upf
C 12.01 C.upf
ATOMIC_POSITIONS crystal
Ru 0.500 0.500 0.500
Cd 0.000 0.500 0.000
N 0.000 0.000 0.500
N 0.500 0.000 0.000
C 0.000 0.000 0.000
CELL_PARAMETERS angstrom
-2.479 -1.979 -1.957
2.601 -0.029 -3.266
1.534 -3.159 1.250
```

***

DFT (PBE-GGA) results for a geometry-optimized Ac6SiIr2I3 structure. Values from VASP.

Values from the calculation:
For the final energy, the calculation gives -64.10 eV for the cell shown. The value obtained for the volume is 447 Å³/f.u.

```
&SYSTEM
  ibrav = 0, nat = 12, ntyp = 4
/
ATOMIC_SPECIES
I 126.90 I.upf
Ac 227.00 Ac.upf
Ir 192.22 Ir.upf
Si 28.09 Si.upf
ATOMIC_POSITIONS crystal
I 0.163 0.837 0.500
I 0.837 0.163 0.500
I 0.500 0.500 0.500
Ac 0.410 0.062 0.187
Ac 0.714 0.714 0.187
Ac 0.062 0.410 0.187
Ac 0.286 0.286 0.813
Ac 0.938 0.590 0.813
Ac 0.590 0.938 0.813
Ir 0.333 0.667 0.000
Ir 0.667 0.333 0.000
Si 0.000 0.000 0.000
CELL_PARAMETERS angstrom
7.783 -0.001 0.001
-3.891 6.741 0.001
-1.297 -2.247 8.520
```

***

DFT (PBE-GGA) results for a geometry-optimized AlInHg3 structure. Values from VASP.

Values from the calculation:
Its energy above the most stable polymorph in this dataset is 323 meV/atom. For the final energy, the calculation gives -5.07 eV for the cell shown. As for the formation energy: 0.463 eV/atom. The value obtained for the volume is 172 Å³/f.u.

```
&SYSTEM
  ibrav = 0, nat = 5, ntyp = 3
/
ATOMIC_SPECIES
Hg 200.59 Hg.upf
In 114.82 In.upf
Al 26.98 Al.upf
ATOMIC_POSITIONS crystal
Hg 0.000 0.000 0.500
Hg 0.000 0.500 0.000
Hg 0.500 0.000 0.000
In 0.000 0.000 0.000
Al 0.500 0.500 0.500
CELL_PARAMETERS angstrom
5.562 0.000 0.000
0.000 5.562 0.000
0.000 0.000 5.562
```

***

DFT (PBE-GGA) results for a geometry-optimized PmEuPt2 structure. Values from VASP.

Values from the calculation:
Its energy above the most stable polymorph in this dataset is 85 meV/atom. For the final energy, the calculation gives -30.86 eV for the cell shown. As for the formation energy: -0.939 eV/atom. The value obtained for the volume is 104 Å³/f.u.

```
&SYSTEM
  ibrav = 0, nat = 4, ntyp = 3
/
ATOMIC_SPECIES
Pt 195.08 Pt.upf
Pm 145.00 Pm.upf
Eu 151.96 Eu.upf
ATOMIC_POSITIONS crystal
Pt 0.253 0.253 0.241
Pt 0.747 0.747 0.759
Pm 0.000 0.000 0.000
Eu 0.500 0.500 0.500
CELL_PARAMETERS angstrom
-3.995 1.010 -0.722
-1.664 -0.624 -3.787
-3.830 -6.201 0.395
```

***

Q: The highest final energy belongs to which entry?
A: AlInHg3

***

Q: Among the records above, which one has the lowest final energy?
A: Ac6SiIr2I3

***

Copy entry 2 word for word.
DFT (PBE-GGA) results for a geometry-optimized Ac6SiIr2I3 structure. Values from VASP.

Values from the calculation:
For the final energy, the calculation gives -64.10 eV for the cell shown. The value obtained for the volume is 447 Å³/f.u.

```
&SYSTEM
  ibrav = 0, nat = 12, ntyp = 4
/
ATOMIC_SPECIES
I 126.90 I.upf
Ac 227.00 Ac.upf
Ir 192.22 Ir.upf
Si 28.09 Si.upf
ATOMIC_POSITIONS crystal
I 0.163 0.837 0.500
I 0.837 0.163 0.500
I 0.500 0.500 0.500
Ac 0.410 0.062 0.187
Ac 0.714 0.714 0.187
Ac 0.062 0.410 0.187
Ac 0.286 0.286 0.813
Ac 0.938 0.590 0.813
Ac 0.590 0.938 0.813
Ir 0.333 0.667 0.000
Ir 0.667 0.333 0.000
Si 0.000 0.000 0.000
CELL_PARAMETERS angstrom
7.783 -0.001 0.001
-3.891 6.741 0.001
-1.297 -2.247 8.520
```

***

Please write out number 3 again, unchanged.
DFT (PBE-GGA) results for a geometry-optimized AlInHg3 structure. Values from VASP.

Values from the calculation:
Its energy above the most stable polymorph in this dataset is 323 meV/atom. For the final energy, the calculation gives -5.07 eV for the cell shown. As for the formation energy: 0.463 eV/atom. The value obtained for the volume is 172 Å³/f.u.

```
&SYSTEM
  ibrav = 0, nat = 5, ntyp = 3
/
ATOMIC_SPECIES
Hg 200.59 Hg.upf
In 114.82 In.upf
Al 26.98 Al.upf
ATOMIC_POSITIONS crystal
Hg 0.000 0.000 0.500
Hg 0.000 0.500 0.000
Hg 0.500 0.000 0.000
In 0.000 0.000 0.000
Al 0.500 0.500 0.500
CELL_PARAMETERS angstrom
5.562 0.000 0.000
0.000 5.562 0.000
0.000 0.000 5.562
```